Record 1
A relaxed Tm8Tc2Pd crystal. Source: Alexandria via LeMat-Bulk, functional PBE-GGA.

Unit cell a=5.6991 b=7.5566 c=7.5566 alpha=112.72 beta=100.49 gamma=100.49
With the nearest neighbours (Å) after each atom.
Sites, in units of the cell vectors:
1 Tm 0.3939 0.6674 0.9284  2 Tc 2.78-2.79
2 Tm 0.7945 0.6292 0.6292  2 Tc 2.94, 1 Pd 3.01
3 Tm 0.9907 0.2233 0.7860  1 Pd 2.83, 2 Tc 3.06-3.09
4 Tm 0.5866 0.3432 0.0800  2 Tc 2.78-2.79
5 Tm 0.9907 0.7860 0.2233  1 Pd 2.83, 2 Tc 3.06-3.09
6 Tm 0.3939 0.9284 0.6674  2 Tc 2.78-2.79
7 Tm 0.5866 0.0800 0.3432  2 Tc 2.78-2.79
8 Tm 0.1855 0.3716 0.3716  2 Tc 2.94, 1 Pd 3.00
9 Pd 0.1021 0.9981 0.9981  4 Tm 2.83-3.01
10 Tc 0.4877 0.3135 0.6932  8 Tm 2.78-3.09
11 Tc 0.4877 0.6932 0.3135  8 Tm 2.78-3.09

Calculated values
E: -5.813 eV per atom
crystal system: monoclinic
E_form: -204 meV per atom



Record 2
A relaxed Tm4TcPd crystal. Source: Alexandria via LeMat-Bulk, functional PBE-GGA.

Unit cell a=4.2673 b=7.4925 c=18.0189 alpha=90.00 beta=90.00 gamma=90.00
With the nearest neighbours (Å) after each atom.
Sites, in units of the cell vectors:
1 Tm 0.2500 0.0064 0.0721  1 Pd 2.87, 3 Tc 2.88-3.03
2 Tm 0.2500 0.5718 0.7187  4 Pd 2.98-3.11, 1 Tc 3.12
3 Tm 0.7500 0.4282 0.2813  4 Pd 2.98-3.11, 1 Tc 3.12
4 Tm 0.7500 0.9282 0.2187  4 Pd 2.98-3.11, 1 Tc 3.12
5 Tm 0.7500 0.4022 0.8530  2 Tc 2.86, 2 Pd 2.90-2.94
6 Tm 0.2500 0.0718 0.7813  4 Pd 2.98-3.11, 1 Tc 3.12
7 Tm 0.2500 0.5978 0.1470  2 Tc 2.86, 2 Pd 2.90-2.94
8 Tm 0.2500 0.6485 0.9559  3 Tc 2.97-3.00
9 Tm 0.2500 0.0978 0.3530  2 Tc 2.86, 2 Pd 2.90-2.94
10 Tm 0.7500 0.8515 0.4559  3 Tc 2.97-3.00
11 Tm 0.2500 0.1485 0.5441  3 Tc 2.97-3.00
12 Tm 0.7500 0.9936 0.9279  1 Pd 2.87, 3 Tc 2.88-3.03
13 Tm 0.2500 0.5064 0.4279  1 Pd 2.87, 3 Tc 2.88-3.03
14 Tm 0.7500 0.4936 0.5721  1 Pd 2.87, 3 Tc 2.88-3.03
15 Tm 0.7500 0.3515 0.0441  3 Tc 2.97-3.00
16 Tm 0.7500 0.9022 0.6470  2 Tc 2.86, 2 Pd 2.90-2.94
17 Tc 0.7500 0.7499 0.0622  9 Tm 2.86-3.12
18 Tc 0.2500 0.7501 0.5622  9 Tm 2.86-3.12
19 Tc 0.2500 0.2501 0.9378  9 Tm 2.86-3.12
20 Tc 0.7500 0.2499 0.4378  9 Tm 2.86-3.12
21 Pd 0.7500 0.7720 0.7984  7 Tm 2.87-3.11
22 Pd 0.7500 0.2720 0.7016  7 Tm 2.87-3.11
23 Pd 0.2500 0.2280 0.2016  7 Tm 2.87-3.11
24 Pd 0.2500 0.7280 0.2984  7 Tm 2.87-3.11

Calculated values
E: -6.000 eV per atom
crystal system: orthorhombic
E_form: -426 meV per atom
polymorph energy (0 for the lowest one): 0 meV per atom



Record 3
A relaxed YTmTcPd crystal. Source: Alexandria via LeMat-Bulk, functional PBE-GGA.

Unit cell a=4.8612 b=4.8612 c=4.8612 alpha=60.00 beta=60.00 gamma=60.00
With the nearest neighbours (Å) after each atom.
Sites, in units of the cell vectors:
1 Tm 0.2500 0.2500 0.2500  4 Pd 2.98, 4 Tc 2.98
2 Tc 0.5000 0.5000 0.5000  4 Tm 2.98, 4 Y 2.98
3 Y 0.7500 0.7500 0.7500  4 Pd 2.98, 4 Tc 2.98
4 Pd 0.0000 0.0000 0.0000  4 Tm 2.98, 4 Y 2.98

Calculated values
E: -7.013 eV per atom
crystal system: cubic
E_form: -389 meV per atom



Record 4
A relaxed TmZrTcPd crystal. Source: Alexandria via LeMat-Bulk, functional PBE-GGA.

Unit cell a=4.7528 b=4.7528 c=4.7528 alpha=60.00 beta=60.00 gamma=60.00
With the nearest neighbours (Å) after each atom.
Sites, in units of the cell vectors:
1 Pd 0.0000 0.0000 0.0000  4 Zr 2.91, 4 Tm 2.91
2 Tm 0.2500 0.2500 0.2500  4 Pd 2.91, 4 Tc 2.91
3 Tc 0.5000 0.5000 0.5000  4 Zr 2.91, 4 Tm 2.91
4 Zr 0.7500 0.7500 0.7500  4 Tc 2.91, 4 Pd 2.91

Calculated values
E: -7.650 eV per atom
crystal system: cubic
E_form: -506 meV per atom